Density functional theory data (PBE) for Ti5Rh6 after structural relaxation.

Summary:
**Crystal system**: orthorhombic
**DFT formation energy**: -0.66 eV per atom
**N(E_F)**: 0.692 states/eV per atom

Lattice parameters (Å, degrees): 7.429 7.429 7.429 146.59 130.17 61.33
Fractional positions:
Ti: 0.000 0.000 0.000
Ti: 0.164 0.664 0.500
Ti: 0.339 0.339 0.000
Ti: 0.661 0.661 0.000
Ti: 0.836 0.336 0.500
Rh: 0.086 0.833 0.253
Rh: 0.257 0.500 0.757
Rh: 0.420 0.167 0.253
Rh: 0.580 0.833 0.747
Rh: 0.743 0.500 0.243
Rh: 0.914 0.167 0.747

=====

Density functional theory data (PBE) for PrNd6Y2Mg after structural relaxation.

Summary:
**Crystal system**: monoclinic
**DFT formation energy**: 0.11 eV per atom
**N(E_F)**: 1.373 states/eV per atom

Lattice parameters (Å, degrees): 9.313 9.313 8.974 90.54 90.54 119.13
Fractional positions:
Pr: 0.035 0.965 0.750
Pr: 0.965 0.035 0.250
Nd: 0.043 0.466 0.303
Nd: 0.120 0.797 0.051
Nd: 0.203 0.880 0.449
Nd: 0.264 0.533 0.910
Nd: 0.466 0.043 0.803
Nd: 0.467 0.736 0.590
Nd: 0.533 0.264 0.410
Nd: 0.534 0.957 0.197
Nd: 0.736 0.467 0.090
Nd: 0.797 0.120 0.551
Nd: 0.880 0.203 0.949
Nd: 0.957 0.534 0.697
Y: 0.224 0.323 0.553
Y: 0.323 0.224 0.053
Y: 0.677 0.776 0.947
Y: 0.776 0.677 0.447
Mg: 0.444 0.556 0.250
Mg: 0.556 0.444 0.750

=====

Density functional theory data (PBE) for Pm2PrEr5 after structural relaxation.

Summary:
**Crystal system**: monoclinic
**DFT formation energy**: 0.18 eV per atom
**N(E_F)**: 1.471 states/eV per atom

Lattice parameters (Å, degrees): 9.541 9.541 6.470 96.34 96.34 62.49
Fractional positions:
Pm: 0.171 0.678 0.888
Pm: 0.322 0.829 0.612
Pm: 0.678 0.171 0.388
Pm: 0.829 0.322 0.112
Pr: 0.000 0.500 0.000
Pr: 0.500 0.000 0.500
Er: 0.010 0.188 0.642
Er: 0.188 0.010 0.142
Er: 0.215 0.396 0.480
Er: 0.396 0.215 0.980
Er: 0.443 0.557 0.250
Er: 0.557 0.443 0.750
Er: 0.604 0.785 0.020
Er: 0.785 0.604 0.520
Er: 0.812 0.990 0.858
Er: 0.990 0.812 0.358

=====

Density functional theory data (PBE) for MnB2Cl after structural relaxation.

Summary:
**Crystal system**: cubic
**Uncorrected formation energy**: 192.4 kJ per mole of atoms
**N(E_F)**: 0.278 states/eV per atom

Lattice parameters (Å, degrees): 3.808 3.808 3.808 60.00 60.00 60.00
Fractional positions:
Mn: 0.000 0.000 0.000
B: 0.250 0.250 0.250
B: 0.750 0.750 0.750
Cl: 0.500 0.500 0.500